Here is a geometry-optimized CuPtF2 structure from the Alexandria database. Energies are from PBE.

```
data_CuPtF2
_symmetry_space_group_name_H-M 'R -3 m'
_symmetry_Int_Tables_number 166
_symmetry_space_group_name_Hall '-R 3 2"'
_cell_length_a 2.7561
_cell_length_b 2.7561
_cell_length_c 23.7385
_cell_angle_alpha 90.00
_cell_angle_beta 90.00
_cell_angle_gamma 120.00
loop_
_atom_site_label
_atom_site_fract_x
_atom_site_fract_y
_atom_site_fract_z
Cu1 0.0000 0.0000 0.0000
Pt1 0.0000 0.0000 0.5000
F1 0.0000 0.0000 0.0759
```

Computed properties:
- ΔE_f (raw): -0.503 eV per atom
- Total moment: 1.091 μB per formula unit
- Theoretical density: 9.5 Mg/m³
- E: -3.97 eV/atom